4
Lattice="0.0000 3.7538 3.7538 3.7538 0.0000 3.7538 3.7538 3.7538 0.0000" Properties=species:S:1:pos:R:3 comment="YLuScIn (GGA-PBE, optimized geometry)" space_group="No. 216" delta_e_f_ev_per_atom=-0.149 rho_g_cm3=6.65 magnetic_moment_mub_per_atom=0.163 pbc="T T T"
Y 0.0000 0.0000 0.0000
Lu 3.7538 3.7538 3.7538
Sc 5.6307 5.6307 5.6307
In 1.8769 1.8769 1.8769

=====

8
Lattice="4.7028 0.0000 0.0000 0.0000 4.7028 0.0000 0.0000 0.0000 9.6382" Properties=species:S:1:pos:R:3 comment="CaYSn6 (GGA-PBE, optimized geometry)" space_group="No. 123" delta_e_f_ev_per_atom=-0.416 rho_g_cm3=6.55 magnetic_moment_mub_per_atom=0.000 pbc="T T T"
Ca 0.0000 0.0000 0.0000
Y 0.0000 0.0000 4.8191
Sn 0.0000 2.3514 2.4208
Sn 0.0000 2.3514 7.2174
Sn 2.3514 0.0000 2.4208
Sn 2.3514 0.0000 7.2174
Sn 2.3514 2.3514 0.0000
Sn 2.3514 2.3514 4.8191